Entry one
This record from Alexandria via LeMat-Bulk describes crystalline Cd8In2Ag3 at its relaxed geometry. The functional is PBE-GGA.

Cell: 4.1981 9.3614 9.1383 Å, 120.79 90.00 90.00°
Last column: nearest neighbours and their distance in Å.
Atoms (fractional coordinates):
Cd 0.0000 0.5946 0.1893  2 Ag 2.92-2.93, 5 Cd 2.97-3.21, 2 In 3.08
Cd 0.0000 0.4054 0.8107  2 Ag 2.92-2.93, 5 Cd 2.97-3.21, 2 In 3.08
Cd 0.0000 0.1304 0.2605  4 Ag 2.93-2.98, 2 In 2.94, 4 Cd 3.13
Cd 0.0000 0.8696 0.7395  4 Ag 2.93-2.98, 2 In 2.94, 4 Cd 3.13
Cd 0.5000 0.6231 0.7421  2 In 2.92-3.11, 3 Ag 2.92-3.08, 4 Cd 3.13-3.20
Cd 0.5000 0.1183 0.7412  2 In 2.92-3.11, 3 Ag 2.92-3.08, 4 Cd 3.13-3.21
Cd 0.5000 0.8817 0.2588  2 In 2.92-3.11, 3 Ag 2.92-3.08, 4 Cd 3.13-3.21
Cd 0.5000 0.3769 0.2579  2 In 2.92-3.11, 3 Ag 2.92-3.08, 4 Cd 3.13-3.20
In 0.5000 0.2618 0.5230  8 Cd 2.92-3.11
In 0.5000 0.7382 0.4770  8 Cd 2.92-3.11
Ag 0.5000 0.0000 0.0000  8 Cd 2.93-3.08, 4 Ag 3.01
Ag 0.0000 0.2305 0.9996  8 Cd 2.92-2.98, 2 Ag 3.01
Ag 0.0000 0.7695 0.0004  8 Cd 2.92-2.98, 2 Ag 3.01

Properties
magnetic moment = 0.0 μB/cell
SG = No. 10
crystal system = monoclinic

=====

Entry two
This record from Alexandria via LeMat-Bulk describes crystalline Cd8In2Ag3 at its relaxed geometry. The functional is PBE-GGA.

Cell: 5.7339 5.7339 11.1855 Å, 75.15 75.15 60.00°
Last column: nearest neighbours and their distance in Å.
Atoms (fractional coordinates):
Cd 0.7274 0.7274 0.8177  1 Ag 2.79, 1 In 2.79
Cd 0.2726 0.2726 0.1823  1 Ag 2.79, 1 In 2.79
Cd 0.2232 0.7225 0.3318  4 Cd 2.86-2.87, 3 Ag 2.92-3.10, 1 In 3.16
Cd 0.7225 0.2232 0.3318  4 Cd 2.86-2.87, 3 Ag 2.92-3.10, 1 In 3.16
Cd 0.7225 0.7225 0.3318  4 Cd 2.86-2.87, 3 Ag 2.92-3.10, 1 In 3.16
Cd 0.2775 0.7768 0.6682  4 Cd 2.86-2.87, 3 Ag 2.92-3.10, 1 In 3.16
Cd 0.7768 0.2775 0.6682  4 Cd 2.86-2.87, 3 Ag 2.92-3.10, 1 In 3.16
Cd 0.2775 0.2775 0.6682  4 Cd 2.86-2.87, 3 Ag 2.92-3.10, 1 In 3.16
In 0.6402 0.6402 0.0793  1 Cd 2.79
In 0.3598 0.3598 0.9207  1 Cd 2.79
Ag 0.0000 0.0000 0.0000  6 In 3.42
Ag 0.8144 0.8144 0.5569  10 Cd 2.79-3.10
Ag 0.1856 0.1856 0.4431  10 Cd 2.79-3.10

Properties
magnetic moment = 0.0 μB/cell
SG = No. 166
crystal system = trigonal

=====

Of them, entry two has the lowest stability.

=====

Entry one
This record from Alexandria via LeMat-Bulk describes crystalline Cd3In2Ag8 at its relaxed geometry. The functional is PBE-GGA.

Cell: 2.9987 9.6901 10.1335 Å, 61.43 90.00 90.00°
Last column: nearest neighbours and their distance in Å.
Atoms (fractional coordinates):
Cd 0.5000 0.0000 0.0000  6 Ag 2.86-3.15, 6 Cd 3.00-3.10
Cd 0.0000 0.7002 0.2283  7 Ag 2.87-2.98, 4 Cd 3.00-3.10
Cd 0.0000 0.2998 0.7717  7 Ag 2.87-2.98, 4 Cd 3.00-3.10
In 0.5000 0.8273 0.6329  7 Ag 2.84-2.98, 3 In 3.00-3.14
In 0.5000 0.1727 0.3671  7 Ag 2.84-2.98, 3 In 3.00-3.14
Ag 0.0000 0.3763 0.4546  2 Cd 2.87-2.93, 2 In 2.93, 7 Ag 2.95-3.19
Ag 0.0000 0.6237 0.5454  2 Cd 2.87-2.93, 2 In 2.93, 7 Ag 2.95-3.19
Ag 0.0000 0.7741 0.9069  2 In 2.98, 3 Cd 2.98-3.15, 8 Ag 3.00-3.25
Ag 0.0000 0.2259 0.0931  2 In 2.98, 3 Cd 2.98-3.15, 8 Ag 3.00-3.25
Ag 0.5000 0.5039 0.8589  5 Ag 2.82-3.00, 1 In 2.86, 2 Cd 2.93
Ag 0.5000 0.9109 0.3126  2 In 2.84-2.95, 3 Cd 2.86-2.97, 6 Ag 3.00-3.17
Ag 0.5000 0.0891 0.6874  2 In 2.84-2.95, 3 Cd 2.86-2.97, 6 Ag 3.00-3.17
Ag 0.5000 0.4961 0.1411  5 Ag 2.82-3.00, 1 In 2.86, 2 Cd 2.93

Properties
magnetic moment = 0.0 μB/cell
SG = No. 10
crystal system = monoclinic

=====

Entry two
This record from Alexandria via LeMat-Bulk describes crystalline Cd3In2Ag8 at its relaxed geometry. The functional is PBE-GGA.

Cell: 5.5385 5.5385 10.8951 Å, 75.28 75.28 60.00°
Last column: nearest neighbours and their distance in Å.
Atoms (fractional coordinates):
Cd 0.0000 0.0000 0.0000  6 In 3.31, 6 Ag 3.63
Cd 0.8173 0.8173 0.5482  10 Ag 2.79-3.13
Cd 0.1827 0.1827 0.4518  10 Ag 2.79-3.13
In 0.6398 0.6398 0.0807  4 Ag 2.75-2.90
In 0.3602 0.3602 0.9193  4 Ag 2.75-2.90
Ag 0.7279 0.7279 0.8162  1 In 2.75, 1 Cd 2.79, 6 Ag 3.08
Ag 0.2721 0.2721 0.1838  1 In 2.75, 1 Cd 2.79, 6 Ag 3.08
Ag 0.2280 0.7297 0.3127  6 Ag 2.76-3.08, 1 In 2.90, 1 Cd 2.92
Ag 0.7297 0.2280 0.3127  6 Ag 2.76-3.08, 1 In 2.90, 1 Cd 2.92
Ag 0.7297 0.7297 0.3127  6 Ag 2.76-3.08, 1 In 2.90, 1 Cd 2.92
Ag 0.2703 0.7720 0.6873  6 Ag 2.76-3.08, 1 In 2.90, 1 Cd 2.92
Ag 0.7720 0.2703 0.6873  6 Ag 2.76-3.08, 1 In 2.90, 1 Cd 2.92
Ag 0.2703 0.2703 0.6873  6 Ag 2.76-3.08, 1 In 2.90, 1 Cd 2.92

Properties
magnetic moment = 0.0 μB/cell
SG = No. 166
crystal system = trigonal

=====

Of them, entry two has the lowest stability.

=====

Entry one
This record from Alexandria via LeMat-Bulk describes crystalline CdIn2Ag8 at its relaxed geometry. The functional is PBE-GGA.

Cell: 4.2650 6.7017 7.9049 Å, 105.69 105.65 90.00°
Last column: nearest neighbours and their distance in Å.
Atoms (fractional coordinates):
Cd 0.5000 0.0000 0.0000  12 Ag 2.95-3.00
In 0.7773 0.3533 0.5546  10 Ag 2.91-3.12, 2 In 3.17
In 0.2227 0.6467 0.4454  10 Ag 2.91-3.12, 2 In 3.17
Ag 0.4108 0.5456 0.8215  8 Ag 2.95-3.02, 1 Cd 2.97, 3 In 2.98-3.12
Ag 0.6798 0.9130 0.3596  3 In 2.91-2.97, 1 Cd 2.95, 8 Ag 2.99-3.04
Ag 0.8630 0.8147 0.7259  7 Ag 2.96-3.04, 2 Cd 3.00, 3 In 3.00
Ag 0.9568 0.2727 0.9137  1 In 2.93, 9 Ag 2.95-3.02, 2 Cd 3.00
Ag 0.1370 0.1853 0.2741  7 Ag 2.96-3.04, 2 Cd 3.00, 3 In 3.00
Ag 0.3202 0.0870 0.6404  3 In 2.91-2.97, 1 Cd 2.95, 8 Ag 2.99-3.04
Ag 0.5892 0.4544 0.1785  8 Ag 2.95-3.02, 1 Cd 2.97, 3 In 2.98-3.12
Ag 0.0432 0.7273 0.0863  1 In 2.93, 9 Ag 2.95-3.02, 2 Cd 3.00

Properties
magnetic moment = 0.0 μB/cell
SG = No. 12
crystal system = monoclinic

=====

Entry two
This record from Alexandria via LeMat-Bulk describes crystalline CdIn2Ag8 at its relaxed geometry. The functional is PBE-GGA.

Cell: 3.9480 8.8452 7.9027 Å, 124.03 104.46 90.00°
Last column: nearest neighbours and their distance in Å.
Atoms (fractional coordinates):
Cd 0.5000 0.0000 0.0000  12 Ag 2.91-3.02
In 0.1408 0.6408 0.2816  8 Ag 2.88-3.01
In 0.8592 0.3592 0.7184  8 Ag 2.88-3.01
Ag 0.6664 0.9180 0.3327  7 Ag 2.87-2.97, 2 In 2.99, 1 Cd 3.02
Ag 0.3336 0.5853 0.6673  7 Ag 2.87-2.97, 2 In 2.99, 1 Cd 3.02
Ag 0.1768 0.1768 0.3535  8 Ag 2.96-3.07, 2 Cd 2.96, 2 In 3.01
Ag 0.0000 0.2420 0.0000  6 Ag 2.87-3.07, 2 In 2.88, 2 Cd 2.91
Ag 0.8232 0.8232 0.6465  8 Ag 2.96-3.07, 2 Cd 2.96, 2 In 3.01
Ag 0.6664 0.4147 0.3327  7 Ag 2.87-2.97, 2 In 2.99, 1 Cd 3.02
Ag 0.3336 0.0820 0.6673  7 Ag 2.87-2.97, 2 In 2.99, 1 Cd 3.02
Ag 0.0000 0.7580 0.0000  6 Ag 2.87-3.07, 2 In 2.88, 2 Cd 2.91

Properties
magnetic moment = 0.0 μB/cell
SG = No. 71
crystal system = orthorhombic

=====

Of them, entry two has the lowest stability.

=====

Entry one
This record from Alexandria via LeMat-Bulk describes crystalline Cd8In2Ag at its relaxed geometry. The functional is PBE-GGA.

Cell: 5.4527 7.6116 7.6116 Å, 62.37 79.86 79.86°
Last column: nearest neighbours and their distance in Å.
Atoms (fractional coordinates):
Cd 0.2067 0.3737 0.7615  1 Ag 2.88, 5 Cd 3.02-3.14, 1 In 3.07
Cd 0.7933 0.2385 0.6263  1 Ag 2.88, 5 Cd 3.02-3.14, 1 In 3.07
Cd 0.0518 0.7702 0.7702  1 Ag 2.95, 3 Cd 3.02-3.06, 2 In 3.03-3.04
Cd 0.9482 0.2298 0.2298  1 Ag 2.95, 3 Cd 3.02-3.06, 2 In 3.03-3.04
Cd 0.2067 0.7615 0.3737  1 Ag 2.88, 5 Cd 3.02-3.14, 1 In 3.07
Cd 0.7933 0.6263 0.2385  1 Ag 2.88, 5 Cd 3.02-3.14, 1 In 3.07
Cd 0.6453 0.6392 0.6392  1 In 3.00, 6 Cd 3.06-3.33
Cd 0.3547 0.3608 0.3608  1 In 3.00, 6 Cd 3.06-3.33
In 0.4998 0.8746 0.8746  1 Ag 2.87, 5 Cd 3.00-3.07
In 0.5002 0.1254 0.1254  1 Ag 2.87, 5 Cd 3.00-3.07
Ag 0.0000 0.0000 0.0000  2 In 2.87, 6 Cd 2.88-2.95

Properties
magnetic moment = 0.0 μB/cell
SG = No. 12
crystal system = monoclinic

=====

Entry two
This record from Alexandria via LeMat-Bulk describes crystalline Cd8In2Ag at its relaxed geometry. The functional is PBE-GGA.

Cell: 4.3384 7.3146 8.5150 Å, 105.31 104.76 90.00°
Last column: nearest neighbours and their distance in Å.
Atoms (fractional coordinates):
In 0.2242 0.6382 0.4484  10 Cd 3.16-3.38, 2 In 3.23
In 0.7758 0.3618 0.5516  10 Cd 3.16-3.38, 2 In 3.23
Ag 0.5000 0.0000 0.0000  12 Cd 3.07-3.17
Cd 0.5867 0.4403 0.1734  8 Cd 3.04-3.33, 1 Ag 3.15, 3 In 3.18-3.32
Cd 0.3228 0.0932 0.6456  8 Cd 3.10-3.34, 3 In 3.16-3.28, 1 Ag 3.17
Cd 0.1313 0.1647 0.2625  2 Ag 3.07, 7 Cd 3.10-3.34, 3 In 3.25-3.38
Cd 0.0410 0.7298 0.0820  9 Cd 3.04-3.26, 2 Ag 3.13, 1 In 3.26
Cd 0.8687 0.8353 0.7375  2 Ag 3.07, 7 Cd 3.10-3.34, 3 In 3.25-3.38
Cd 0.6772 0.9068 0.3544  8 Cd 3.10-3.34, 3 In 3.16-3.28, 1 Ag 3.17
Cd 0.4133 0.5597 0.8266  8 Cd 3.04-3.33, 1 Ag 3.15, 3 In 3.18-3.32
Cd 0.9590 0.2702 0.9180  9 Cd 3.04-3.26, 2 Ag 3.13, 1 In 3.26

Properties
magnetic moment = 0.0 μB/cell
SG = No. 12
crystal system = monoclinic

=====

Of them, entry one has the lowest stability.

=====

Entry one
This record from Alexandria via LeMat-Bulk describes crystalline Cd2InAg4 at its relaxed geometry. The functional is PBE-GGA.

Cell: 3.1099 3.1039 16.6556 Å, 95.45 90.00 120.06°
Last column: nearest neighbours and their distance in Å.
Atoms (fractional coordinates):
In 0.8078 0.6156 0.6688  6 Ag 2.99-3.01, 6 In 3.10-3.11
Ag 0.9070 0.8139 0.9516  9 Ag 2.90-3.11, 3 Cd 2.96
Ag 0.4237 0.8474 0.5228  3 Cd 2.96-2.99, 3 In 3.01, 6 Ag 3.10-3.11
Ag 0.0038 0.0076 0.2372  6 Cd 2.96-2.98, 6 Ag 3.10-3.11
Ag 0.5243 0.0487 0.8137  9 Ag 2.90-3.11, 3 In 2.99-3.00
Cd 0.6215 0.2430 0.0941  6 Ag 2.96-2.97, 6 Cd 3.10-3.11
Cd 0.7133 0.4267 0.3797  6 Ag 2.96-2.99, 6 Cd 3.10-3.11

Properties
magnetic moment = 0.0 μB/cell
SG = No. 8
crystal system = monoclinic

=====

Entry two
This record from Alexandria via LeMat-Bulk describes crystalline Cd2InAg4 at its relaxed geometry. The functional is PBE-GGA.

Cell: 8.1977 7.4196 5.5917 Å, 99.87 89.49 123.46°
Last column: nearest neighbours and their distance in Å.
Atoms (fractional coordinates):
Cd 0.7092 0.3136 0.7522  6 Ag 2.87-3.06, 2 Cd 3.00-3.13
Cd 0.5274 0.9497 0.0987  6 Ag 2.88-3.10, 2 In 3.04-3.19
Cd 0.6522 0.4747 0.2546  5 Ag 2.78-2.96, 1 Cd 3.00
Cd 0.0816 0.2945 0.7577  7 Ag 2.88-3.10, 1 Cd 3.13, 2 In 3.19-3.21
In 0.2872 0.7616 0.6025  6 Ag 2.76-3.07, 1 Cd 3.04
In 0.9149 0.9475 0.1154  7 Ag 2.88-3.19, 3 Cd 3.18-3.21
Ag 0.9121 0.3310 0.3265  3 Ag 2.82-3.01, 4 Cd 2.87-2.93, 2 In 2.90-3.10
Ag 0.3147 0.4903 0.2245  1 In 2.76, 3 Cd 2.84-3.07, 4 Ag 2.90-3.01
Ag 0.9457 0.7714 0.6297  2 Cd 2.78-3.05, 2 In 2.84-2.88, 5 Ag 2.91-3.08
Ag 0.6928 0.9159 0.5281  4 Ag 2.81-3.15, 3 Cd 2.88-2.94, 2 In 2.89-2.91
Ag 0.2907 0.1274 0.4296  6 Ag 2.80-3.06, 2 Cd 2.96-3.06, 2 In 3.02
Ag 0.3113 0.1264 0.9281  6 Ag 2.80-3.02, 4 Cd 2.89-3.01, 2 In 2.90-3.01
Ag 0.5240 0.5632 0.7770  5 Ag 2.81-3.08, 3 Cd 2.96-3.10
Ag 0.0861 0.6829 0.0754  5 Ag 2.82-3.10, 2 In 2.96-3.07, 3 Cd 3.01-3.10

Properties
magnetic moment = 0.0 μB/cell
SG = No. 1
crystal system = triclinic

=====

Of them, entry one has the lowest stability.

=====

Entry one
This record from Alexandria via LeMat-Bulk describes crystalline Cd3InAg7 at its relaxed geometry. The functional is PBE-GGA.

Cell: 5.3343 7.3866 7.3866 Å, 83.80 116.07 116.07°
Last column: nearest neighbours and their distance in Å.
Atoms (fractional coordinates):
Cd 0.0000 0.7925 0.2075  7 Ag 2.89-2.94
Cd 0.5000 0.0000 0.0000  6 Ag 2.80-2.85
Cd 0.0000 0.2075 0.7925  7 Ag 2.89-2.94
In 0.5000 0.5000 0.5000  4 Ag 2.67-2.78
Ag 0.3874 0.2186 0.2186  1 In 2.78, 3 Cd 2.80-2.89, 5 Ag 2.88-3.00
Ag 0.3252 0.0628 0.5831  5 Ag 2.84-3.17, 3 Cd 2.85-2.94, 1 In 3.02
Ag 0.6748 0.4169 0.9372  5 Ag 2.84-3.17, 3 Cd 2.85-2.94, 1 In 3.02
Ag 0.3252 0.5831 0.0628  5 Ag 2.84-3.17, 3 Cd 2.85-2.94, 1 In 3.02
Ag 0.0000 0.5000 0.5000  2 In 2.67, 2 Ag 2.88, 2 Cd 2.89
Ag 0.6748 0.9372 0.4169  5 Ag 2.84-3.17, 3 Cd 2.85-2.94, 1 In 3.02
Ag 0.6126 0.7814 0.7814  1 In 2.78, 3 Cd 2.80-2.89, 5 Ag 2.88-3.00

Properties
magnetic moment = 0.0 μB/cell
SG = No. 12
crystal system = monoclinic

=====

Entry two
This record from Alexandria via LeMat-Bulk describes crystalline Cd3InAg7 at its relaxed geometry. The functional is PBE-GGA.

Cell: 3.0473 12.0605 11.8960 Å, 90.00 90.00 97.26°
Last column: nearest neighbours and their distance in Å.
Atoms (fractional coordinates):
Cd 0.0898 0.1795 0.4698  7 Ag 2.86-3.11, 2 Cd 3.05
Cd 0.9102 0.8205 0.5302  7 Ag 2.86-3.11, 2 Cd 3.05
Cd 0.2527 0.5054 0.7500  9 Ag 2.83-3.07, 2 Cd 3.05
Cd 0.7473 0.4946 0.2500  9 Ag 2.83-3.07, 2 Cd 3.05
Cd 0.0898 0.1795 0.0302  7 Ag 2.86-3.11, 2 Cd 3.05
Cd 0.9102 0.8205 0.9698  7 Ag 2.86-3.11, 2 Cd 3.05
In 0.9152 0.8304 0.2500  8 Ag 2.93-2.94, 2 In 3.05
In 0.0848 0.1696 0.7500  8 Ag 2.93-2.94, 2 In 3.05
Ag 0.3810 0.7620 0.7500  8 Ag 3.05-3.41, 5 Cd 3.07-3.11
Ag 0.6190 0.2380 0.2500  8 Ag 3.05-3.41, 5 Cd 3.07-3.11
Ag 0.5000 0.9999 0.3744  2 Cd 2.87, 2 In 2.94, 5 Ag 2.96-3.21
Ag 0.5000 0.0001 0.6256  2 Cd 2.87, 2 In 2.94, 5 Ag 2.96-3.21
Ag 0.5000 0.0001 0.8744  2 Cd 2.87, 2 In 2.94, 5 Ag 2.96-3.21
Ag 0.5000 0.9999 0.1256  2 Cd 2.87, 2 In 2.94, 5 Ag 2.96-3.21
Ag 0.3321 0.6642 0.3785  6 Ag 2.86-3.06, 2 In 2.93, 4 Cd 2.96-3.01
Ag 0.6679 0.3358 0.6215  6 Ag 2.86-3.06, 2 In 2.93, 4 Cd 2.96-3.01
Ag 0.2079 0.4157 0.4341  3 Cd 2.83-2.86, 7 Ag 2.86-3.05
Ag 0.7921 0.5843 0.5659  3 Cd 2.83-2.86, 7 Ag 2.86-3.05
Ag 0.7921 0.5843 0.9341  3 Cd 2.83-2.86, 7 Ag 2.86-3.05
Ag 0.2079 0.4157 0.0659  3 Cd 2.83-2.86, 7 Ag 2.86-3.05
Ag 0.3321 0.6642 0.1215  6 Ag 2.86-3.06, 2 In 2.93, 4 Cd 2.96-3.01
Ag 0.6679 0.3358 0.8785  6 Ag 2.86-3.06, 2 In 2.93, 4 Cd 2.96-3.01

Properties
magnetic moment = 0.0 μB/cell
SG = No. 63
crystal system = orthorhombic

=====

Of them, entry one has the lowest stability.